Entry 1:
Compound: MnTl2Cl8
Source: the Alexandria database
Functional: GGA-PBE
Structure: relaxed

Unit cell a=3.565 b=9.118 c=10.089 alpha=92.85 beta=100.18 gamma=90.00
Fractional coordinates of all 11 atoms:
Cl 0.598 0.546 0.195
Cl 0.236 0.295 0.472
Cl 0.764 0.705 0.528
Cl 0.402 0.454 0.805
Cl 0.629 0.932 0.259
Cl 0.371 0.068 0.741
Cl 0.975 0.827 0.949
Cl 0.025 0.173 0.051
Mn 0.500 0.000 0.000
Tl 0.836 0.286 0.672
Tl 0.164 0.714 0.328

Output
Space group ... C2/m, No. 12
Fermi-level density of states ... 0.444 states/eV per atom

Entry 2:
Compound: MnTl2Cl4
Source: the Alexandria database
Functional: GGA-PBE
Structure: relaxed

Unit cell a=7.313 b=7.272 c=8.982 alpha=90.00 beta=109.02 gamma=90.00
Fractional coordinates of all 14 atoms:
Cl 0.928 0.250 0.636
Cl 0.072 0.750 0.364
Cl 0.485 0.000 0.265
Cl 0.485 0.500 0.265
Cl 0.085 0.750 0.934
Cl 0.515 0.000 0.735
Cl 0.515 0.500 0.735
Cl 0.915 0.250 0.066
Tl 0.712 0.750 0.049
Tl 0.288 0.250 0.951
Tl 0.772 0.750 0.568
Tl 0.228 0.250 0.432
Mn 0.268 0.750 0.203
Mn 0.732 0.250 0.797

Output
Space group ... P2_1/m, No. 11
Fermi-level density of states ... 0.000 states/eV per atom
E above lowest polymorph ... 0 meV/atom

Entry 3:
Compound: MnTl3Cl4
Source: the Alexandria database
Functional: GGA-PBE
Structure: relaxed

Unit cell a=8.285 b=8.285 c=8.285 alpha=71.85 beta=130.97 gamma=130.97
Fractional coordinates of all 8 atoms:
Cl 0.602 0.901 0.901
Cl 0.398 0.299 0.299
Cl 0.000 0.701 0.099
Cl 0.000 0.099 0.701
Tl 0.000 0.500 0.500
Tl 0.500 0.750 0.250
Tl 0.500 0.250 0.750
Mn 0.000 0.000 0.000

Output
Space group ... I-42m, No. 121
Fermi-level density of states ... 0.370 states/eV per atom
E above lowest polymorph ... 83 meV/atom

Entry 4:
Compound: MnTlCl2
Source: the Alexandria database
Functional: GGA-PBE
Structure: relaxed

Unit cell a=3.658 b=3.658 c=8.839 alpha=90.00 beta=90.00 gamma=116.01
Fractional coordinates of all 4 atoms:
Cl 0.500 0.500 0.327
Cl 0.000 0.000 0.954
Tl 0.500 0.500 0.736
Mn 0.000 0.000 0.484

Output
Space group ... Cmm2, No. 35
Fermi-level density of states ... 0.485 states/eV per atom
E above lowest polymorph ... 354 meV/atom

Entry 5:
Compound: MnTlCl2
Source: the Alexandria database
Functional: GGA-PBE
Structure: relaxed

Unit cell a=5.214 b=5.214 c=5.214 alpha=60.00 beta=60.00 gamma=60.00
Fractional coordinates of all 4 atoms:
Cl 0.250 0.250 0.250
Cl 0.750 0.750 0.750
Tl 0.500 0.500 0.500
Mn 0.000 0.000 0.000

Output
Space group ... Fm-3m, No. 225
Fermi-level density of states ... 1.628 states/eV per atom
E above lowest polymorph ... 475 meV/atom

Entry 6:
Compound: Mn3Tl5Cl12
Source: the Alexandria database
Functional: GGA-PBE
Structure: relaxed

Unit cell a=3.916 b=12.962 c=12.962 alpha=120.00 beta=90.00 gamma=90.00
Fractional coordinates of all 20 atoms:
Cl 0.000 0.466 0.466
Cl 0.000 0.000 0.796
Cl 0.500 0.225 0.438
Cl 0.000 0.534 0.000
Cl 0.000 0.204 0.204
Cl 0.500 0.787 0.562
Cl 0.000 0.000 0.534
Cl 0.500 0.213 0.775
Cl 0.500 0.438 0.225
Cl 0.000 0.796 0.000
Cl 0.500 0.775 0.213
Cl 0.500 0.562 0.787
Tl 0.000 0.667 0.333
Tl 0.000 0.721 0.721
Tl 0.000 0.279 0.000
Tl 0.000 0.333 0.667
Tl 0.000 0.000 0.279
Mn 0.500 0.000 0.664
Mn 0.500 0.336 0.336
Mn 0.500 0.664 0.000

Output
Space group ... P-62m, No. 189
Fermi-level density of states ... 0.495 states/eV per atom

Entry 7:
Compound: Mn2TlCl
Source: the Alexandria database
Functional: GGA-PBE
Structure: relaxed

Unit cell a=6.160 b=6.160 c=6.160 alpha=150.55 beta=133.48 gamma=56.02
Fractional coordinates of all 4 atoms:
Mn 0.806 0.306 0.500
Mn 0.014 0.014 0.000
Cl 0.200 0.700 0.500
Tl 0.481 0.481 0.000

Output
Space group ... Imm2, No. 44
Fermi-level density of states ... 0.284 states/eV per atom
E above lowest polymorph ... 147 meV/atom

Entry 8:
Compound: MnTlCl2
Source: the Alexandria database
Functional: GGA-PBE
Structure: relaxed

Unit cell a=3.733 b=3.733 c=9.523 alpha=90.00 beta=90.00 gamma=123.94
Fractional coordinates of all 4 atoms:
Tl 0.500 0.500 0.750
Mn 0.500 0.500 0.250
Cl 0.000 0.000 0.073
Cl 0.000 0.000 0.427

Output
Space group ... Cmmm, No. 65
Fermi-level density of states ... 0.327 states/eV per atom
E above lowest polymorph ... 100 meV/atom

Entry 9:
Compound: MnTlCl2
Source: the Alexandria database
Functional: GGA-PBE
Structure: relaxed

Unit cell a=7.669 b=5.691 c=3.429 alpha=77.00 beta=83.50 gamma=129.77
Fractional coordinates of all 4 atoms:
Mn 0.000 0.500 0.500
Tl 0.500 0.500 0.000
Cl 0.000 0.000 0.000
Cl 0.500 0.000 0.500

Output
Space group ... C2/m, No. 12
Fermi-level density of states ... 0.299 states/eV per atom
E above lowest polymorph ... 451 meV/atom

Entry 10:
Compound: MnTlCl3
Source: the Alexandria database
Functional: GGA-PBE
Structure: relaxed

Unit cell a=7.140 b=7.106 c=10.145 alpha=90.00 beta=90.00 gamma=90.00
Fractional coordinates of all 20 atoms:
Mn 0.000 0.500 0.000
Mn 0.500 0.000 0.500
Mn 0.500 0.000 0.000
Mn 0.000 0.500 0.500
Tl 0.034 0.994 0.750
Tl 0.534 0.506 0.750
Tl 0.966 0.006 0.250
Tl 0.466 0.494 0.250
Cl 0.003 0.545 0.250
Cl 0.497 0.045 0.750
Cl 0.503 0.955 0.250
Cl 0.717 0.283 0.023
Cl 0.217 0.217 0.477
Cl 0.283 0.717 0.977
Cl 0.283 0.717 0.523
Cl 0.783 0.783 0.523
Cl 0.217 0.217 0.023
Cl 0.783 0.783 0.977
Cl 0.717 0.283 0.477
Cl 0.997 0.455 0.750

Output
Space group ... Pnma, No. 62
E above lowest polymorph ... 24 meV/atom

Entry 11:
Compound: Mn3TlCl
Source: the Alexandria database
Functional: GGA-PBE
Structure: relaxed

Unit cell a=5.277 b=5.277 c=5.277 alpha=90.00 beta=90.00 gamma=90.00
Fractional coordinates of all 5 atoms:
Mn 0.500 0.000 0.000
Mn 0.000 0.500 0.000
Mn 0.000 0.000 0.500
Tl 0.000 0.000 0.000
Cl 0.500 0.500 0.500

Output
Space group ... Pm-3m, No. 221
Fermi-level density of states ... 0.335 states/eV per atom
E above lowest polymorph ... 298 meV/atom

Entry 12:
Compound: MnTlCl2
Source: the Alexandria database
Functional: GGA-PBE
Structure: relaxed

Unit cell a=6.123 b=6.123 c=6.123 alpha=146.53 beta=120.55 gamma=69.97
Fractional coordinates of all 4 atoms:
Cl 0.419 0.419 0.000
Cl 0.081 0.081 0.000
Tl 0.750 0.250 0.500
Mn 0.250 0.750 0.500

Output
Space group ... Immm, No. 71
Fermi-level density of states ... 0.241 states/eV per atom
E above lowest polymorph ... 72 meV/atom

| no. | spin magnetization (μB/f.u.) | uncorrected formation energy (meV per atom) | DFT total energy (eV per atom) |
| --- | --- | --- | --- |
| 1 | 4.612 | -709 | -3.32 |
| 2 | 5.000 | -1063 | -4.10 |
| 3 | 4.161 | -767 | -3.72 |
| 4 | 4.534 | -360 | -4.17 |
| 5 | 5.346 | -240 | -4.05 |
| 6 | 14.000 | -1033 | -4.11 |
| 7 | 8.014 | 249 | -5.39 |
| 8 | 4.649 | -615 | -4.42 |
| 9 | 4.835 | -264 | -4.07 |
| 10 | 5.000 | -1048 | -4.46 |
| 11 | 14.728 | 971 | -5.37 |
| 12 | 4.421 | -643 | -4.45 |